## a
A plane-wave DFT calculation with PBE was carried out for a geometry-optimized CsNa2Pd structure.

Structure (CIF):
```
data_CsNa2Pd
_chemical_formula_sum 'Cs4 Na8 Pd4'
_cell_length_a 7.969
_cell_length_b 7.969
_cell_length_c 7.969
_cell_angle_alpha 90.00
_cell_angle_beta 90.00
_cell_angle_gamma 90.00
_space_group_name_H-M_alt 'F m -3 m'
_space_group_IT_number 225
_space_group_name_Hall '-F 4 2 3'
loop_
_atom_site_label
_atom_site_type_symbol
_atom_site_fract_x
_atom_site_fract_y
_atom_site_fract_z
_atom_site_occupancy
Cs1 Cs 0.000 0.000 0.000 1
Na1 Na 0.250 0.250 0.250 1
Pd1 Pd 0.000 0.000 0.500 1
```

---

## b
A plane-wave DFT calculation with PBE was carried out for a geometry-optimized CsNa2Pd structure.

Structure (CIF):
```
data_CsNa2Pd
_chemical_formula_sum 'Cs1 Na2 Pd1'
_cell_length_a 3.781
_cell_length_b 3.781
_cell_length_c 9.816
_cell_angle_alpha 90.00
_cell_angle_beta 90.00
_cell_angle_gamma 90.00
_space_group_name_H-M_alt 'P 4/m m m'
_space_group_IT_number 123
_space_group_name_Hall '-P 4 2'
loop_
_atom_site_label
_atom_site_type_symbol
_atom_site_fract_x
_atom_site_fract_y
_atom_site_fract_z
_atom_site_occupancy
Cs1 Cs 0.000 0.000 0.000 1
Na1 Na 0.500 0.500 0.350 1
Pd1 Pd 0.000 0.000 0.500 1
```

---

Which of them is the most stable? Correct choice: b.

---

## a
A plane-wave DFT calculation with PBE was carried out for a geometry-optimized CsNa2Pd structure.

Structure (CIF):
```
data_CsNa2Pd
_chemical_formula_sum 'Cs3 Na6 Pd3'
_cell_length_a 5.0881
_cell_length_b 5.0881
_cell_length_c 20.4017
_cell_angle_alpha 90.00
_cell_angle_beta 90.00
_cell_angle_gamma 120.00
_space_group_name_H-M_alt 'R -3 m'
_space_group_IT_number 166
_space_group_name_Hall '-R 3 2"'
loop_
_atom_site_label
_atom_site_type_symbol
_atom_site_fract_x
_atom_site_fract_y
_atom_site_fract_z
_atom_site_occupancy
Cs1 Cs 0.0000 0.0000 0.0000 1
Na1 Na 0.0000 0.0000 0.1971 1
Pd1 Pd 0.0000 0.0000 0.5000 1
```

---

## b
A plane-wave DFT calculation with PBE was carried out for a geometry-optimized CsNa2Pd structure.

Structure (CIF):
```
data_CsNa2Pd
_chemical_formula_sum 'Cs4 Na8 Pd4'
_cell_length_a 6.177
_cell_length_b 6.177
_cell_length_c 18.963
_cell_angle_alpha 90.00
_cell_angle_beta 90.00
_cell_angle_gamma 90.00
_space_group_name_H-M_alt 'I -4 2 d'
_space_group_IT_number 122
_space_group_name_Hall 'I -4 2bw'
loop_
_atom_site_label
_atom_site_type_symbol
_atom_site_fract_x
_atom_site_fract_y
_atom_site_fract_z
_atom_site_occupancy
Cs1 Cs 0.000 0.000 0.000 1
Na1 Na 0.006 0.750 0.625 1
Pd1 Pd 0.000 0.000 0.500 1
```

---

Which of them is the most stable? Correct choice: a.

---

## a
A plane-wave DFT calculation with PBE was carried out for a geometry-optimized Cs2Na2Pd structure.

Structure (CIF):
```
data_Cs2Na2Pd
_chemical_formula_sum 'Cs4 Na4 Pd2'
_cell_length_a 8.155
_cell_length_b 8.155
_cell_length_c 6.407
_cell_angle_alpha 90.00
_cell_angle_beta 90.00
_cell_angle_gamma 90.00
_space_group_name_H-M_alt 'P 4/m b m'
_space_group_IT_number 127
_space_group_name_Hall '-P 4 2ab'
loop_
_atom_site_label
_atom_site_type_symbol
_atom_site_fract_x
_atom_site_fract_y
_atom_site_fract_z
_atom_site_occupancy
Cs1 Cs 0.198 0.302 0.000 1
Na1 Na 0.157 0.657 0.500 1
Pd1 Pd 0.000 0.000 0.500 1
```

---

## b
A plane-wave DFT calculation with PBE was carried out for a geometry-optimized Cs2Na2Pd structure.

Structure (CIF):
```
data_Cs2Na2Pd
_chemical_formula_sum 'Cs4 Na4 Pd2'
_cell_length_a 8.764
_cell_length_b 8.764
_cell_length_c 7.389
_cell_angle_alpha 90.00
_cell_angle_beta 90.00
_cell_angle_gamma 90.00
_space_group_name_H-M_alt 'P 4/m b m'
_space_group_IT_number 127
_space_group_name_Hall '-P 4 2ab'
loop_
_atom_site_label
_atom_site_type_symbol
_atom_site_fract_x
_atom_site_fract_y
_atom_site_fract_z
_atom_site_occupancy
Cs1 Cs 0.173 0.327 0.000 1
Na1 Na 0.148 0.648 0.500 1
Pd1 Pd 0.000 0.000 0.000 1
```

---

Which of them is the most stable? Correct choice: a.

---

## a
A plane-wave DFT calculation with PBE was carried out for a geometry-optimized Cs2RbNaPd structure.

Structure (CIF):
```
data_Cs2RbNaPd
_chemical_formula_sum 'Cs2 Rb1 Na1 Pd1'
_cell_length_a 6.889
_cell_length_b 6.889
_cell_length_c 6.713
_cell_angle_alpha 90.00
_cell_angle_beta 90.00
_cell_angle_gamma 90.00
_space_group_name_H-M_alt 'P 4/m m m'
_space_group_IT_number 123
_space_group_name_Hall '-P 4 2'
loop_
_atom_site_label
_atom_site_type_symbol
_atom_site_fract_x
_atom_site_fract_y
_atom_site_fract_z
_atom_site_occupancy
Cs1 Cs 0.000 0.500 0.000 1
Rb1 Rb 0.000 0.000 0.500 1
Na1 Na 0.500 0.500 0.500 1
Pd1 Pd 0.000 0.000 0.000 1
```

---

## b
A plane-wave DFT calculation with PBE was carried out for a geometry-optimized Cs2RbNaPd structure.

Structure (CIF):
```
data_Cs2RbNaPd
_chemical_formula_sum 'Cs2 Rb1 Na1 Pd1'
_cell_length_a 7.046
_cell_length_b 7.046
_cell_length_c 5.970
_cell_angle_alpha 90.00
_cell_angle_beta 90.00
_cell_angle_gamma 90.00
_space_group_name_H-M_alt 'P 4/m m m'
_space_group_IT_number 123
_space_group_name_Hall '-P 4 2'
loop_
_atom_site_label
_atom_site_type_symbol
_atom_site_fract_x
_atom_site_fract_y
_atom_site_fract_z
_atom_site_occupancy
Cs1 Cs 0.000 0.500 0.000 1
Rb1 Rb 0.000 0.000 0.500 1
Na1 Na 0.500 0.500 0.500 1
Pd1 Pd 0.500 0.500 0.000 1
```

---

Which of them is the most stable? Correct choice: a.

---

## a
A plane-wave DFT calculation with PBE was carried out for a geometry-optimized CsRb2NaPd structure.

Structure (CIF):
```
data_CsRb2NaPd
_chemical_formula_sum 'Cs1 Rb2 Na1 Pd1'
_cell_length_a 6.770
_cell_length_b 6.770
_cell_length_c 6.044
_cell_angle_alpha 90.00
_cell_angle_beta 90.00
_cell_angle_gamma 90.00
_space_group_name_H-M_alt 'P 4/m m m'
_space_group_IT_number 123
_space_group_name_Hall '-P 4 2'
loop_
_atom_site_label
_atom_site_type_symbol
_atom_site_fract_x
_atom_site_fract_y
_atom_site_fract_z
_atom_site_occupancy
Cs1 Cs 0.000 0.000 0.000 1
Rb1 Rb 0.000 0.500 0.500 1
Na1 Na 0.500 0.500 0.000 1
Pd1 Pd 0.500 0.500 0.500 1
```

---

## b
A plane-wave DFT calculation with PBE was carried out for a geometry-optimized CsRb2NaPd structure.

Structure (CIF):
```
data_CsRb2NaPd
_chemical_formula_sum 'Cs1 Rb2 Na1 Pd1'
_cell_length_a 6.602
_cell_length_b 6.602
_cell_length_c 6.737
_cell_angle_alpha 90.00
_cell_angle_beta 90.00
_cell_angle_gamma 90.00
_space_group_name_H-M_alt 'P 4/m m m'
_space_group_IT_number 123
_space_group_name_Hall '-P 4 2'
loop_
_atom_site_label
_atom_site_type_symbol
_atom_site_fract_x
_atom_site_fract_y
_atom_site_fract_z
_atom_site_occupancy
Cs1 Cs 0.000 0.000 0.000 1
Rb1 Rb 0.000 0.500 0.500 1
Na1 Na 0.500 0.500 0.000 1
Pd1 Pd 0.000 0.000 0.500 1
```

---

Which of them is the most stable? Correct choice: b.

---

## a
A plane-wave DFT calculation with PBE was carried out for a geometry-optimized CsRbNa2Pd structure.

Structure (CIF):
```
data_CsRbNa2Pd
_chemical_formula_sum 'Cs1 Rb1 Na2 Pd1'
_cell_length_a 5.998
_cell_length_b 5.998
_cell_length_c 6.556
_cell_angle_alpha 90.00
_cell_angle_beta 90.00
_cell_angle_gamma 90.00
_space_group_name_H-M_alt 'P 4/m m m'
_space_group_IT_number 123
_space_group_name_Hall '-P 4 2'
loop_
_atom_site_label
_atom_site_type_symbol
_atom_site_fract_x
_atom_site_fract_y
_atom_site_fract_z
_atom_site_occupancy
Cs1 Cs 0.000 0.000 0.000 1
Rb1 Rb 0.500 0.500 0.000 1
Na1 Na 0.000 0.500 0.500 1
Pd1 Pd 0.000 0.000 0.500 1
```

---

## b
A plane-wave DFT calculation with PBE was carried out for a geometry-optimized CsRbNa2Pd structure.

Structure (CIF):
```
data_CsRbNa2Pd
_chemical_formula_sum 'Cs1 Rb1 Na2 Pd1'
_cell_length_a 6.003
_cell_length_b 6.003
_cell_length_c 6.414
_cell_angle_alpha 90.00
_cell_angle_beta 90.00
_cell_angle_gamma 90.00
_space_group_name_H-M_alt 'P 4/m m m'
_space_group_IT_number 123
_space_group_name_Hall '-P 4 2'
loop_
_atom_site_label
_atom_site_type_symbol
_atom_site_fract_x
_atom_site_fract_y
_atom_site_fract_z
_atom_site_occupancy
Cs1 Cs 0.000 0.000 0.000 1
Rb1 Rb 0.500 0.500 0.000 1
Na1 Na 0.000 0.500 0.500 1
Pd1 Pd 0.500 0.500 0.500 1
```

---

Which of them is the most stable? Correct choice: b.